No. 1
This record from Alexandria describes a geometry-optimized Ca3Ac8La3 structure. The functional is GGA-PBE.

Calculated values
The total energy is -51.21 eV/cell. The symmetry is C2/m, No. 12.

a = 6.553 Å, b = 10.841 Å, c = 10.841 Å
α = 80.02°, β = 63.93°, γ = 63.93°
Element x y z (fractional)
Ac: 0.296 0.885 0.378
La: 0.893 0.238 0.238
Ca: 0.500 0.000 0.000
Ca: 0.000 0.863 0.137
Ac: 0.762 0.779 0.520
Ac: 0.296 0.378 0.885
Ac: 0.704 0.622 0.115
Ac: 0.704 0.115 0.622
La: 0.107 0.762 0.762
Ac: 0.762 0.520 0.779
La: 0.500 0.500 0.500
Ac: 0.238 0.221 0.480
Ac: 0.238 0.480 0.221
Ca: 0.000 0.137 0.863


No. 2
This record from Alexandria describes a geometry-optimized CaAc3La8 structure. The functional is GGA-PBE.

Calculated values
The total energy is -51.05 eV/cell. The symmetry is Immm, No. 71.

a = 9.231 Å, b = 9.231 Å, c = 9.231 Å
α = 99.35°, β = 95.96°, γ = 137.20°
Element x y z (fractional)
Ac: 0.500 0.764 0.264
La: 0.506 0.766 0.739
Ca: 0.000 0.000 0.000
La: 0.184 0.747 0.931
Ac: 0.000 0.500 0.500
La: 0.973 0.234 0.739
La: 0.816 0.747 0.563
La: 0.494 0.234 0.261
La: 0.027 0.766 0.261
Ac: 0.500 0.236 0.736
La: 0.184 0.253 0.437
La: 0.816 0.253 0.069


No. 3
This record from Alexandria describes a geometry-optimized Ca3Ac4La2 structure. The functional is GGA-PBE.

Calculated values
The polymorph energy (0 for the lowest one) is 0.000 eV/atom. The total energy is -31.98 eV/cell. The symmetry is C2/m, No. 12.

a = 3.913 Å, b = 9.583 Å, c = 10.358 Å
α = 89.84°, β = 100.89°, γ = 90.00°
Element x y z (fractional)
Ca: 0.888 0.329 0.777
Ac: 0.779 0.674 0.557
La: 0.328 0.992 0.656
Ac: 0.221 0.326 0.443
Ca: 0.000 0.000 0.000
La: 0.672 0.008 0.344
Ac: 0.442 0.667 0.884
Ca: 0.112 0.671 0.223
Ac: 0.558 0.333 0.116


Among the records above, which one has the lowest total energy? Ca3Ac8La3


The lowest total energy belongs to which entry? Ca3Ac8La3